Entry 1:
# AgHgPt2

A relaxed structure of AgHgPt2 (GGA-PBE, OQMD).

Lattice parameters (Å, degrees): 4.619 4.619 4.619 60.00 60.00 60.00
Sites, in units of the cell vectors:
Pt 0.500 0.500 0.500
Pt 0.250 0.250 0.250
Hg 0.000 0.000 0.000
Ag 0.750 0.750 0.750

calculated formation energy: 0.33 eV/f.u.



Entry 2:
# HoTm2Sn3Pd3

A relaxed structure of HoTm2Sn3Pd3 (GGA-PBE, OQMD).

Lattice parameters (Å, degrees): 3.832 7.628 7.628 120.12 90.00 90.00
Sites, in units of the cell vectors:
Pd 0.500 0.333 0.668
Pd 0.000 0.999 0.999
Pd 0.500 0.668 0.333
Ho 0.000 0.402 0.402
Tm 0.000 0.000 0.599
Tm 0.000 0.599 0.000
Sn 0.500 0.000 0.264
Sn 0.500 0.735 0.735
Sn 0.500 0.264 0.000



Entry 3:
# Pm2Mg3Pt2

A relaxed structure of Pm2Mg3Pt2 (GGA-PBE, OQMD).

Lattice parameters (Å, degrees): 5.596 5.596 7.598 110.67 110.67 45.77
Sites, in units of the cell vectors:
Mg 0.500 0.500 0.000
Mg 0.364 0.364 0.561
Mg 0.636 0.636 0.439
Pt 0.848 0.848 0.799
Pt 0.152 0.152 0.201
Pm 0.858 0.858 0.213
Pm 0.142 0.142 0.787



Entry 4:
# HfInOs2

A relaxed structure of HfInOs2 (GGA-PBE, OQMD).

Lattice parameters (Å, degrees): 4.608 4.608 4.608 60.00 60.00 60.00
Sites, in units of the cell vectors:
Os 0.000 0.000 0.000
Os 0.750 0.750 0.750
In 0.500 0.500 0.500
Hf 0.250 0.250 0.250



Entry 5:
# PuNbRe

A relaxed structure of PuNbRe (GGA-PBE, OQMD).

Lattice parameters (Å, degrees): 4.389 4.389 4.389 60.00 60.00 60.00
Sites, in units of the cell vectors:
Pu 0.250 0.250 0.250
Re 0.000 0.000 0.000
Nb 0.500 0.500 0.500

distance to the lowest polymorph of the same formula: 208 meV/atom
calculated formation energy: 3.82 eV/f.u.



Entry 6:
# URe

A relaxed structure of URe (GGA-PBE, OQMD).

Lattice parameters (Å, degrees): 3.894 3.894 3.894 60.00 60.00 60.00
Sites, in units of the cell vectors:
U 0.500 0.500 0.500
Re 0.000 0.000 0.000

calculated formation energy: 0.98 eV/f.u.



Entry 7:
# BeCoAgB

A relaxed structure of BeCoAgB (GGA-PBE, OQMD).

Lattice parameters (Å, degrees): 3.929 3.929 3.929 60.00 60.00 60.00
Sites, in units of the cell vectors:
Co 0.750 0.750 0.750
Ag 0.500 0.500 0.500
B 0.000 0.000 0.000
Be 0.250 0.250 0.250

distance to the lowest polymorph of the same formula: 256 meV/atom



Entry 8:
# Cu2SnHgTe2S2

A relaxed structure of Cu2SnHgTe2S2 (GGA-PBE, OQMD).

Lattice parameters (Å, degrees): 7.243 7.240 5.979 65.64 65.59 48.76
Sites, in units of the cell vectors:
Cu 0.268 0.268 0.232
Cu 0.768 0.768 0.732
Hg 0.987 0.987 0.013
Sn 0.483 0.483 0.517
S 0.595 0.116 0.884
S 0.116 0.595 0.405
Te 0.395 0.887 0.605
Te 0.887 0.395 0.113

distance to the lowest polymorph of the same formula: 24 meV/atom



Entry 9:
# GaCoHgMo

A relaxed structure of GaCoHgMo (GGA-PBE, OQMD).

Lattice parameters (Å, degrees): 4.459 4.459 4.459 60.00 60.00 60.00
Sites, in units of the cell vectors:
Mo 0.250 0.250 0.250
Co 0.750 0.750 0.750
Hg 0.500 0.500 0.500
Ga 0.000 0.000 0.000

distance to the lowest polymorph of the same formula: 0 meV/atom



Entry 10:
# TbPaZn

A relaxed structure of TbPaZn (GGA-PBE, OQMD).

Lattice parameters (Å, degrees): 4.838 4.838 4.838 60.00 60.00 60.00
Sites, in units of the cell vectors:
Tb 0.750 0.750 0.750
Pa 0.250 0.250 0.250
Zn 0.000 0.000 0.000

calculated formation energy: 1.26 eV/f.u.



Entry 11:
# LuZnCu2

A relaxed structure of LuZnCu2 (GGA-PBE, OQMD).

Lattice parameters (Å, degrees): 4.478 4.478 4.478 60.00 60.00 60.00
Sites, in units of the cell vectors:
Cu 0.750 0.750 0.750
Cu 0.000 0.000 0.000
Zn 0.500 0.500 0.500
Lu 0.250 0.250 0.250

calculated formation energy: -0.61 eV/f.u.



Entry 12:
# Tb2ErGe5

A relaxed structure of Tb2ErGe5 (GGA-PBE, OQMD).

Lattice parameters (Å, degrees): 4.182 6.899 6.899 119.89 90.00 90.00
Sites, in units of the cell vectors:
Er 0.000 0.021 0.021
Ge 0.500 0.409 0.409
Ge 0.500 0.916 0.667
Ge 0.500 0.329 0.997
Ge 0.500 0.667 0.916
Ge 0.500 0.997 0.329
Tb 0.000 0.307 0.664
Tb 0.000 0.664 0.307



Entry 13:
# Gd2CoGe4Pt

A relaxed structure of Gd2CoGe4Pt (GGA-PBE, OQMD).

Lattice parameters (Å, degrees): 4.306 8.730 8.730 27.64 90.00 90.00
Sites, in units of the cell vectors:
Gd 0.000 0.894 0.894
Gd 0.500 0.107 0.107
Ge 0.000 0.244 0.244
Ge 0.500 0.467 0.467
Ge 0.000 0.545 0.545
Ge 0.500 0.740 0.740
Pt 0.500 0.324 0.324
Co 0.000 0.680 0.680



Entry 14:
# CsBeIrW

A relaxed structure of CsBeIrW (GGA-PBE, OQMD).

Lattice parameters (Å, degrees): 4.656 4.656 4.656 60.00 60.00 60.00
Sites, in units of the cell vectors:
Cs 0.500 0.500 0.500
W 0.250 0.250 0.250
Be 0.750 0.750 0.750
Ir 0.000 0.000 0.000

distance to the lowest polymorph of the same formula: 0 meV/atom



Entry 15:
# Ga2NiPd2

A relaxed structure of Ga2NiPd2 (GGA-PBE, OQMD).

Lattice parameters (Å, degrees): 6.491 6.491 6.491 146.98 146.98 47.40
Sites, in units of the cell vectors:
Pd 0.392 0.392 0.000
Pd 0.608 0.608 0.000
Ga 0.250 0.750 0.500
Ga 0.750 0.250 0.500
Ni 0.000 0.000 0.000

distance to the lowest polymorph of the same formula: 85 meV/atom



Entry 16:
# PdO3

A relaxed structure of PdO3 (GGA-PBE, OQMD).

Lattice parameters (Å, degrees): 5.336 5.336 4.888 109.25 109.25 121.69
Sites, in units of the cell vectors:
O 0.594 0.594 0.686
O 0.975 0.304 0.689
O 0.406 0.406 0.314
O 0.025 0.696 0.311
O 0.304 0.975 0.689
O 0.696 0.025 0.311
Pd 0.843 0.157 0.000
Pd 0.157 0.843 0.000



Entry 17:
# AgTePtO

A relaxed structure of AgTePtO (GGA-PBE, OQMD).

Lattice parameters (Å, degrees): 4.127 4.127 9.252 90.00 90.00 90.00
Sites, in units of the cell vectors:
Pt 0.750 0.750 0.560
Pt 0.250 0.250 0.440
Te 0.750 0.750 0.847
Te 0.250 0.250 0.153
O 0.250 0.750 0.500
O 0.750 0.250 0.500
Ag 0.250 0.250 0.833
Ag 0.750 0.750 0.167

distance to the lowest polymorph of the same formula: 312 meV/atom



Entry 18:
# Er2Ge5Os3

A relaxed structure of Er2Ge5Os3 (GGA-PBE, OQMD).

Lattice parameters (Å, degrees): 8.467 8.467 8.467 108.60 85.16 139.94
Sites, in units of the cell vectors:
Os 0.851 0.405 0.256
Os 0.250 0.250 0.000
Os 0.750 0.750 0.000
Os 0.649 0.905 0.554
Os 0.149 0.595 0.744
Os 0.351 0.095 0.446
Ge 0.915 0.176 0.091
Ge 0.750 0.250 0.500
Ge 0.457 0.250 0.207
Ge 0.415 0.324 0.739
Ge 0.543 0.750 0.793
Ge 0.085 0.824 0.909
Ge 0.043 0.250 0.793
Ge 0.250 0.750 0.500
Ge 0.957 0.750 0.207
Ge 0.585 0.676 0.261
Er 0.857 0.730 0.587
Er 0.643 0.230 0.873
Er 0.143 0.270 0.413
Er 0.357 0.770 0.127



Entry 19:
# KGdTeO

A relaxed structure of KGdTeO (GGA-PBE, OQMD).

Lattice parameters (Å, degrees): 4.805 8.467 6.840 90.00 90.00 90.00
Sites, in units of the cell vectors:
K 0.000 0.284 0.125
K 0.000 0.716 0.625
O 0.500 0.089 0.209
O 0.500 0.911 0.709
Gd 0.500 0.111 0.522
Gd 0.500 0.889 0.022
Te 0.000 0.304 0.634
Te 0.000 0.696 0.134

distance to the lowest polymorph of the same formula: 149 meV/atom



Entry 20:
# TbUGa

A relaxed structure of TbUGa (GGA-PBE, OQMD).

Lattice parameters (Å, degrees): 4.865 4.865 4.865 60.00 60.00 60.00
Sites, in units of the cell vectors:
U 0.750 0.750 0.750
Tb 0.250 0.250 0.250
Ga 0.000 0.000 0.000

distance to the lowest polymorph of the same formula: 0 meV/atom



Entry 21:
# CuHgMoIr

A relaxed structure of CuHgMoIr (GGA-PBE, OQMD).

Lattice parameters (Å, degrees): 4.474 4.474 4.474 60.00 60.00 60.00
Sites, in units of the cell vectors:
Cu 0.750 0.750 0.750
Ir 0.250 0.250 0.250
Hg 0.000 0.000 0.000
Mo 0.500 0.500 0.500

distance to the lowest polymorph of the same formula: 0 meV/atom
calculated formation energy: 1.45 eV/f.u.



Entry 22:
# NaNd5Se6

A relaxed structure of NaNd5Se6 (GGA-PBE, OQMD).

Lattice parameters (Å, degrees): 7.311 7.311 7.329 99.59 99.59 120.01
Sites, in units of the cell vectors:
Nd 0.835 0.165 0.500
Nd 0.500 0.500 0.500
Nd 0.666 0.334 0.000
Nd 0.165 0.835 0.500
Nd 0.334 0.666 0.000
Se 0.247 0.247 0.755
Se 0.587 0.917 0.751
Se 0.083 0.413 0.249
Se 0.753 0.753 0.245
Se 0.917 0.587 0.751
Se 0.413 0.083 0.249
Na 0.000 0.000 0.000



Entry 23:
# DyMg6Sc

A relaxed structure of DyMg6Sc (GGA-PBE, OQMD).

Lattice parameters (Å, degrees): 5.088 5.088 7.218 90.00 90.00 90.00
Sites, in units of the cell vectors:
Mg 0.000 0.000 0.000
Mg 0.000 0.500 0.760
Mg 0.500 0.500 0.500
Mg 0.500 0.000 0.240
Mg 0.500 0.000 0.760
Mg 0.000 0.500 0.240
Dy 0.000 0.000 0.500
Sc 0.500 0.500 0.000



Entry 24:
# CsPrMg

A relaxed structure of CsPrMg (GGA-PBE, OQMD).

Lattice parameters (Å, degrees): 5.557 5.557 5.557 60.00 60.00 60.00
Sites, in units of the cell vectors:
Pr 0.250 0.250 0.250
Cs 0.000 0.000 0.000
Mg 0.750 0.750 0.750



Entry 25:
# LiFeSnAs

A relaxed structure of LiFeSnAs (GGA-PBE, OQMD).

Lattice parameters (Å, degrees): 4.663 4.663 4.663 60.00 60.00 60.00
Sites, in units of the cell vectors:
Sn 0.000 0.000 0.000
Fe 0.500 0.500 0.500
Li 0.750 0.750 0.750
As 0.250 0.250 0.250

distance to the lowest polymorph of the same formula: 265 meV/atom



Entry 26:
# HfMgAsO

A relaxed structure of HfMgAsO (GGA-PBE, OQMD).

Lattice parameters (Å, degrees): 3.593 6.328 6.208 90.00 90.00 90.00
Sites, in units of the cell vectors:
Hf 0.500 0.981 0.111
Hf 0.500 0.019 0.611
Mg 0.000 0.628 0.425
Mg 0.000 0.372 0.925
O 0.500 0.233 0.870
O 0.500 0.767 0.370
As 0.000 0.224 0.347
As 0.000 0.776 0.847

distance to the lowest polymorph of the same formula: 0 meV/atom



Entry 27:
# Gd2HoMg3Ir2Pt

A relaxed structure of Gd2HoMg3Ir2Pt (GGA-PBE, OQMD).

Lattice parameters (Å, degrees): 4.041 7.341 7.341 119.97 90.00 90.00
Sites, in units of the cell vectors:
Mg 0.500 0.753 0.999
Mg 0.500 0.248 0.248
Mg 0.500 0.999 0.753
Ir 0.500 0.336 0.666
Ir 0.500 0.666 0.336
Pt 0.000 0.997 0.997
Ho 0.000 0.588 0.588
Gd 0.000 0.000 0.414
Gd 0.000 0.414 0.000



no.,electronic total energy (eV per atom)
1,-3.7254
2,-5.4910
3,-4.5254
4,-8.4219
5,-10.9423
6,-11.3695
7,-4.3931
8,-3.4693
9,-4.8499
10,-4.7105
11,-3.4588
12,-5.3122
13,-5.8661
14,-4.9268
15,-4.4279
16,-5.0031
17,-4.1390
18,-7.0235
19,-5.4283
20,-5.9330
21,-5.5665
22,-5.6355
23,-2.5760
24,-1.3956
25,-4.4292
26,-6.9120
27,-5.4783